1.
This record from Alexandria via LeMat-Bulk describes a relaxed structure of ZrMn2Ru. The functional is GGA-PBEsol.

a b c (Å): 4.2718 4.2718 4.2718
angles (deg): 60.00 60.00 60.00
Closest atoms and distances in Å follow each position.
Element x y z (fractional)
Mn  0.2500  0.2500  0.2500  4 Zr 2.62, 4 Ru 2.62
Mn  0.7500  0.7500  0.7500  4 Ru 2.62, 4 Zr 2.62
Ru  0.0000  0.0000  0.0000  8 Mn 2.62
Zr  0.5000  0.5000  0.5000  8 Mn 2.62

Values from the calculation:
Relative energy among the computed polymorphs (meV/atom): 0
Crystal system: cubic
Space group: Fm-3m, No. 225

2.
This record from Alexandria via LeMat-Bulk describes a relaxed structure of MnSbS2. The functional is GGA-PBEsol.

a b c (Å): 3.2943 3.2943 8.2121
angles (deg): 78.43 78.43 60.00
Closest atoms and distances in Å follow each position.
Element x y z (fractional)
Sb  0.0000  0.0000  0.0000  2 S 2.72
S  0.8863  0.8863  0.3410  3 Mn 2.29
S  0.1137  0.1137  0.6590  3 Mn 2.29
Mn  0.5000  0.5000  0.5000  6 S 2.29

Values from the calculation:
Crystal system: trigonal
E_form (uncorrected) (eV/atom): -0.407
Space group: R-3m, No. 166

3.
This record from Alexandria via LeMat-Bulk describes a relaxed structure of Sm2Mn3Sb4S12. The functional is GGA-PBEsol.

a b c (Å): 3.8075 9.9633 11.8968
angles (deg): 83.15 80.79 78.98
Closest atoms and distances in Å follow each position.
Element x y z (fractional)
Sm  0.7602  0.3404  0.1392  8 S 2.85-2.93
Sm  0.2398  0.6596  0.8608  8 S 2.85-2.93
Mn  0.8008  0.0235  0.3750  6 S 2.42-2.63
Mn  0.1992  0.9765  0.6250  6 S 2.42-2.63
Mn  0.0000  0.0000  0.0000  6 S 2.38-2.62
Sb  0.8981  0.6652  0.5387  3 S 2.51-2.61
Sb  0.1019  0.3348  0.4613  3 S 2.51-2.61
Sb  0.5420  0.7299  0.1860  5 S 2.56-2.80
Sb  0.4580  0.2701  0.8140  5 S 2.56-2.80
S  0.9429  0.9169  0.1973  2 Mn 2.38-2.42, 2 Sb 2.65
S  0.0571  0.0831  0.8027  2 Mn 2.38-2.42, 2 Sb 2.65
S  0.3977  0.1794  0.0252  1 Sb 2.56, 2 Mn 2.62
S  0.6023  0.8206  0.9748  1 Sb 2.56, 2 Mn 2.62
S  0.1714  0.5563  0.1009  2 Sb 2.80, 3 Sm 2.85-2.91
S  0.8286  0.4437  0.8991  2 Sb 2.80, 3 Sm 2.85-2.91
S  0.5889  0.4726  0.3497  2 Sb 2.61, 1 Sm 2.89
S  0.4111  0.5274  0.6503  2 Sb 2.61, 1 Sm 2.89
S  0.7431  0.8083  0.7055  1 Sb 2.51, 2 Mn 2.63
S  0.2569  0.1917  0.2945  1 Sb 2.51, 2 Mn 2.63
S  0.6566  0.1373  0.5495  3 Mn 2.42-2.57
S  0.3434  0.8627  0.4505  3 Mn 2.42-2.57

Values from the calculation:
Crystal system: monoclinic
E_form (uncorrected) (eV/atom): -0.774
Space group: C2/m, No. 12

Number 1: density 9.1 Mg/m³, total magnetization 3.1 Bohr magnetons per cell. Number 2: density 5.3 Mg/m³, total magnetization 2.1 Bohr magnetons per cell. Number 3: density 5.1 Mg/m³, total magnetization 14.8 Bohr magnetons per cell.